{
  "formula": "P2WIO",
  "functional": "meta-GGA SCAN",
  "state": "single point on PBEsol structure",
  "lattice": [[4.980, 0.000, 0.000], [0.000, 4.980, 0.000], [0.000, 0.000, 3.770]],
  "species": ["P", "P", "W", "I", "O"],
  "frac_coords": [[0.000, 0.500, 0.000], [0.500, 0.000, 0.000], [0.000, 0.000, 0.500], [0.500, 0.500, 0.000], [0.500, 0.500, 0.500]],
  "polymorph_energy_kj_per_mol_atoms": 164.0,
  "volume_a3_per_cell": 93
}

***

{
  "formula": "PbI2O6",
  "functional": "meta-GGA SCAN",
  "state": "single point on PBEsol structure",
  "lattice": [[16.769, 0.000, 0.000], [0.000, 5.449, 0.000], [0.000, 0.000, 5.938]],
  "species": ["Pb", "Pb", "Pb", "Pb", "I", "I", "I", "I", "I", "I", "I", "I", "O", "O", "O", "O", "O", "O", "O", "O", "O", "O", "O", "O", "O", "O", "O", "O", "O", "O", "O", "O", "O", "O", "O", "O"],
  "frac_coords": [[0.000, 0.248, 0.250], [0.000, 0.752, 0.750], [0.500, 0.252, 0.750], [0.500, 0.748, 0.250], [0.164, 0.248, 0.697], [0.164, 0.752, 0.197], [0.336, 0.252, 0.197], [0.336, 0.748, 0.697], [0.664, 0.252, 0.303], [0.664, 0.748, 0.803], [0.836, 0.248, 0.803], [0.836, 0.752, 0.303], [0.070, 0.104, 0.604], [0.070, 0.896, 0.104], [0.114, 0.414, 0.932], [0.114, 0.586, 0.432], [0.210, 0.009, 0.356], [0.210, 0.991, 0.856], [0.290, 0.491, 0.856], [0.290, 0.509, 0.356], [0.386, 0.086, 0.432], [0.386, 0.914, 0.932], [0.430, 0.396, 0.104], [0.430, 0.604, 0.604], [0.570, 0.396, 0.396], [0.570, 0.604, 0.896], [0.614, 0.086, 0.068], [0.614, 0.914, 0.568], [0.710, 0.491, 0.644], [0.710, 0.509, 0.144], [0.790, 0.009, 0.144], [0.790, 0.991, 0.644], [0.886, 0.414, 0.568], [0.886, 0.586, 0.068], [0.930, 0.104, 0.896], [0.930, 0.896, 0.396]],
  "polymorph_energy_kj_per_mol_atoms": 0.0,
  "volume_a3_per_cell": 543
}

***

{
  "formula": "PbI2O",
  "functional": "meta-GGA SCAN",
  "state": "single point on PBEsol structure",
  "lattice": [[-3.226, 3.226, 6.150], [3.226, -3.226, 6.150], [3.226, 3.226, -6.150]],
  "species": ["Pb", "Pb", "I", "I", "I", "I", "O", "O"],
  "frac_coords": [[0.000, 0.000, 0.000], [0.750, 0.250, 0.500], [0.250, 0.125, 0.625], [0.375, 0.750, 0.875], [0.500, 0.625, 0.375], [0.875, 0.500, 0.125], [0.250, 0.750, 0.500], [0.500, 0.500, 0.000]],
  "volume_a3_per_cell": 256
}

***

{
  "formula": "Pb3I2O2",
  "functional": "meta-GGA SCAN",
  "state": "single point on PBEsol structure",
  "lattice": [[17.783, 0.000, 0.000], [0.000, 5.927, 0.000], [0.000, 0.000, 7.452]],
  "species": ["Pb", "Pb", "Pb", "Pb", "Pb", "Pb", "Pb", "Pb", "Pb", "Pb", "Pb", "Pb", "I", "I", "I", "I", "I", "I", "I", "I", "O", "O", "O", "O", "O", "O", "O", "O"],
  "frac_coords": [[0.028, 0.250, 0.152], [0.107, 0.250, 0.706], [0.162, 0.750, 0.027], [0.338, 0.250, 0.527], [0.393, 0.750, 0.206], [0.472, 0.750, 0.652], [0.528, 0.250, 0.348], [0.607, 0.250, 0.794], [0.662, 0.750, 0.473], [0.838, 0.250, 0.973], [0.893, 0.750, 0.294], [0.972, 0.750, 0.848], [0.065, 0.750, 0.410], [0.241, 0.250, 0.171], [0.259, 0.750, 0.671], [0.435, 0.250, 0.910], [0.565, 0.750, 0.090], [0.741, 0.250, 0.329], [0.759, 0.750, 0.829], [0.935, 0.250, 0.590], [0.075, 0.000, 0.918], [0.075, 0.500, 0.918], [0.425, 0.000, 0.418], [0.425, 0.500, 0.418], [0.575, 0.000, 0.582], [0.575, 0.500, 0.582], [0.925, 0.000, 0.082], [0.925, 0.500, 0.082]],
  "volume_a3_per_cell": 785
}

***

{
  "formula": "PbI2O6",
  "functional": "meta-GGA SCAN",
  "state": "single point on PBEsol structure",
  "lattice": [[6.826, 0.000, 0.000], [3.114, 6.325, 0.000], [0.070, 0.071, 13.054]],
  "species": ["Pb", "Pb", "Pb", "Pb", "I", "I", "I", "I", "I", "I", "I", "I", "O", "O", "O", "O", "O", "O", "O", "O", "O", "O", "O", "O", "O", "O", "O", "O", "O", "O", "O", "O", "O", "O", "O", "O"],
  "frac_coords": [[0.025, 0.163, 0.132], [0.027, 0.664, 0.368], [0.973, 0.336, 0.632], [0.975, 0.837, 0.868], [0.338, 0.130, 0.886], [0.338, 0.627, 0.613], [0.348, 0.520, 0.116], [0.349, 0.023, 0.385], [0.651, 0.977, 0.615], [0.652, 0.480, 0.884], [0.662, 0.373, 0.387], [0.662, 0.870, 0.114], [0.085, 0.547, 0.167], [0.087, 0.052, 0.332], [0.142, 0.543, 0.558], [0.143, 0.044, 0.943], [0.275, 0.051, 0.522], [0.276, 0.550, 0.978], [0.307, 0.581, 0.749], [0.308, 0.084, 0.752], [0.322, 0.785, 0.145], [0.326, 0.288, 0.355], [0.415, 0.124, 0.090], [0.416, 0.626, 0.410], [0.584, 0.374, 0.590], [0.585, 0.876, 0.910], [0.674, 0.712, 0.645], [0.678, 0.215, 0.855], [0.692, 0.916, 0.248], [0.693, 0.419, 0.251], [0.724, 0.450, 0.022], [0.725, 0.949, 0.478], [0.857, 0.956, 0.057], [0.858, 0.457, 0.442], [0.913, 0.948, 0.668], [0.915, 0.453, 0.833]],
  "polymorph_energy_kj_per_mol_atoms": 0.7,
  "volume_a3_per_cell": 564
}

***

{
  "formula": "PtPbI2O",
  "functional": "meta-GGA SCAN",
  "state": "single point on PBEsol structure",
  "lattice": [[5.694, 0.000, 0.000], [0.000, 5.694, 0.000], [0.000, 0.000, 3.840]],
  "species": ["Pt", "Pb", "I", "I", "O"],
  "frac_coords": [[0.000, 0.000, 0.000], [0.500, 0.500, 0.500], [0.000, 0.500, 0.000], [0.500, 0.000, 0.000], [0.000, 0.000, 0.500]],
  "volume_a3_per_cell": 125
}

***

{
  "formula": "SnPbI2O",
  "functional": "meta-GGA SCAN",
  "state": "single point on PBEsol structure",
  "lattice": [[6.208, 0.000, 0.000], [0.000, 6.208, 0.000], [0.000, 0.000, 4.175]],
  "species": ["Sn", "Pb", "I", "I", "O"],
  "frac_coords": [[0.000, 0.000, 0.000], [0.500, 0.500, 0.500], [0.000, 0.500, 0.500], [0.500, 0.000, 0.500], [0.500, 0.500, 0.000]],
  "volume_a3_per_cell": 161
}

***

{
  "formula": "TePbIO2",
  "functional": "meta-GGA SCAN",
  "state": "single point on PBEsol structure",
  "lattice": [[4.243, 0.000, 0.000], [0.000, 4.243, 0.000], [0.000, 0.000, 6.966]],
  "species": ["Te", "Pb", "I", "O", "O"],
  "frac_coords": [[0.000, 0.000, 0.000], [0.500, 0.500, 0.500], [0.500, 0.500, 0.000], [0.000, 0.500, 0.500], [0.500, 0.000, 0.500]],
  "volume_a3_per_cell": 125
}

***

{
  "formula": "TePbI2O",
  "functional": "meta-GGA SCAN",
  "state": "single point on PBEsol structure",
  "lattice": [[6.063, 0.000, 0.000], [0.000, 6.063, 0.000], [0.000, 0.000, 5.923]],
  "species": ["Te", "Pb", "I", "I", "O"],
  "frac_coords": [[0.000, 0.000, 0.000], [0.000, 0.000, 0.500], [0.000, 0.500, 0.500], [0.500, 0.000, 0.500], [0.500, 0.500, 0.000]],
  "volume_a3_per_cell": 218
}

***

{
  "formula": "TiPbIO2",
  "functional": "meta-GGA SCAN",
  "state": "single point on PBEsol structure",
  "lattice": [[4.208, 0.000, 0.000], [0.000, 4.208, 0.000], [0.000, 0.000, 6.260]],
  "species": ["Ti", "Pb", "I", "O", "O"],
  "frac_coords": [[0.000, 0.000, 0.000], [0.500, 0.500, 0.500], [0.500, 0.500, 0.000], [0.000, 0.500, 0.500], [0.500, 0.000, 0.500]],
  "volume_a3_per_cell": 111
}

***

{
  "formula": "RePdI2O",
  "functional": "meta-GGA SCAN",
  "state": "single point on PBEsol structure",
  "lattice": [[5.427, 0.000, 0.000], [0.000, 5.427, 0.000], [0.000, 0.000, 3.776]],
  "species": ["Re", "Pd", "I", "I", "O"],
  "frac_coords": [[0.000, 0.000, 0.000], [0.500, 0.500, 0.500], [0.000, 0.500, 0.500], [0.500, 0.000, 0.500], [0.500, 0.500, 0.000]],
  "volume_a3_per_cell": 111
}

***

{
  "formula": "PdSI2O",
  "functional": "meta-GGA SCAN",
  "state": "single point on PBEsol structure",
  "lattice": [[5.414, 0.000, 0.000], [0.000, 5.414, 0.000], [0.000, 0.000, 3.483]],
  "species": ["Pd", "S", "I", "I", "O"],
  "frac_coords": [[0.000, 0.000, 0.000], [0.500, 0.500, 0.500], [0.000, 0.500, 0.500], [0.500, 0.000, 0.500], [0.500, 0.500, 0.000]],
  "volume_a3_per_cell": 102
}

***

Energy relative to the elements, uncorrected per entry: 1.612; -0.637; 0.312; -0.985; -0.630; -0.116; -0.097; 0.082; 0.670; -0.103; 1.110; 0.393 eV per atom
DOS(E_F) per entry: 2.1; 0.0; 1.0; 0.0; 0.0; 2.9; 2.5; 2.5; 7.1; 2.0; 3.1; 4.7 states/eV/f.u.
Theoretical density per entry: 6.91; 6.82; 6.19; 7.67; 6.56; 8.96; 6.15; 6.54; 4.61; 6.20; 8.40; 6.64 Mg/m³